DFT (PBE) results for CrTeI2Br after structural relaxation.

ΔE to the lowest computed polymorph in meV per atom: 672

The structure in CIF format:
```
data_CrTeI2Br
_chemical_formula_sum 'Cr1 Te1 I2 Br1'
_symmetry_space_group_name_H-M 'P 4/m m m'
_symmetry_Int_Tables_number 123
_symmetry_space_group_name_Hall '-P 4 2'
_cell_length_a 5.815
_cell_length_b 5.815
_cell_length_c 5.777
_cell_angle_alpha 90.00
_cell_angle_beta 90.00
_cell_angle_gamma 90.00
loop_
_atom_site_label
_atom_site_fract_x
_atom_site_fract_y
_atom_site_fract_z
Cr1 0.000 0.000 0.000
Te1 0.500 0.500 0.000
I1 0.000 0.500 0.500
Br1 0.500 0.500 0.500
```